## one
Entry from the Alexandria database: an optimized crystal structure of BaLiHgAu2 (GGA-PBE).

## Properties
* symmetry: P4/mmm

a b c (Å): 5.069 5.069 5.014
angles (deg): 90.00 90.00 90.00
Fractional coordinates of all 5 atoms:
Ba 0.000 0.000 0.000
Li 0.500 0.500 0.500
Hg 0.500 0.500 0.000
Au 0.000 0.500 0.500
Au 0.500 0.000 0.500


## two
Entry from the Alexandria database: an optimized crystal structure of BaLiHgAu2 (GGA-PBE).

## Properties
* symmetry: I-4m2

a b c (Å): 7.289 7.289 7.289
angles (deg): 144.80 144.80 50.63
Fractional coordinates of all 5 atoms:
Ba 0.000 0.000 0.000
Li 0.250 0.750 0.500
Hg 0.750 0.250 0.500
Au 0.392 0.392 0.000
Au 0.608 0.608 0.000


Relative to the most stable structure, the computed energies are one 103; two 0, all in meV/atom.


## one
Entry from the Alexandria database: an optimized crystal structure of BaZnHg2Au (GGA-PBE).

## Properties
* symmetry: P4/mmm

a b c (Å): 5.442 5.442 5.020
angles (deg): 90.00 90.00 90.00
Fractional coordinates of all 5 atoms:
Ba 0.000 0.000 0.000
Zn 0.500 0.500 0.000
Hg 0.000 0.500 0.500
Hg 0.500 0.000 0.500
Au 0.500 0.500 0.500


## two
Entry from the Alexandria database: an optimized crystal structure of BaZnHg2Au (GGA-PBE).

## Properties
* symmetry: P4/mmm

a b c (Å): 5.248 5.248 5.153
angles (deg): 90.00 90.00 90.00
Fractional coordinates of all 5 atoms:
Ba 0.000 0.000 0.000
Zn 0.500 0.500 0.500
Hg 0.000 0.500 0.500
Hg 0.500 0.000 0.500
Au 0.500 0.500 0.000


Relative to the most stable structure, the computed energies are one 71; two 0, all in meV/atom.


## one
Entry from the Alexandria database: an optimized crystal structure of BaAuI3 (GGA-PBE).

## Properties
* symmetry: P2_1/c

a b c (Å): 8.216 8.937 13.866
angles (deg): 90.00 125.13 90.00
Fractional coordinates of all 20 atoms:
Ba 0.197 0.133 0.240
Ba 0.197 0.367 0.740
Ba 0.803 0.633 0.260
Ba 0.803 0.867 0.760
Au 0.032 0.517 0.118
Au 0.032 0.983 0.618
Au 0.968 0.017 0.382
Au 0.968 0.483 0.882
I 0.098 0.181 0.941
I 0.098 0.319 0.441
I 0.272 0.669 0.936
I 0.272 0.831 0.436
I 0.426 0.027 0.776
I 0.426 0.473 0.276
I 0.574 0.527 0.724
I 0.574 0.973 0.224
I 0.728 0.169 0.564
I 0.728 0.331 0.064
I 0.902 0.681 0.559
I 0.902 0.819 0.059


## two
Entry from the Alexandria database: an optimized crystal structure of BaAuI3 (GGA-PBE).

## Properties
* symmetry: Pm-3m

a b c (Å): 6.729 6.729 6.729
angles (deg): 90.00 90.00 90.00
Fractional coordinates of all 5 atoms:
Ba 0.000 0.000 0.000
Au 0.500 0.500 0.500
I 0.000 0.000 0.500
I 0.000 0.500 0.000
I 0.500 0.000 0.000


## three
Entry from the Alexandria database: an optimized crystal structure of BaAuI3 (GGA-PBE).

## Properties
* symmetry: Pm-3m

a b c (Å): 5.830 5.830 5.830
angles (deg): 90.00 90.00 90.00
Fractional coordinates of all 5 atoms:
Ba 0.000 0.000 0.000
Au 0.500 0.500 0.500
I 0.000 0.500 0.500
I 0.500 0.000 0.500
I 0.500 0.500 0.000


## four
Entry from the Alexandria database: an optimized crystal structure of BaAuI3 (GGA-PBE).

## Properties
* symmetry: P2_1/c

a b c (Å): 8.439 8.924 13.302
angles (deg): 90.00 116.74 90.00
Fractional coordinates of all 20 atoms:
Ba 0.148 0.128 0.209
Ba 0.148 0.372 0.709
Ba 0.852 0.628 0.291
Ba 0.852 0.872 0.791
Au 0.337 0.646 0.342
Au 0.337 0.854 0.842
Au 0.663 0.146 0.158
Au 0.663 0.354 0.658
I 0.119 0.175 0.934
I 0.119 0.325 0.434
I 0.231 0.638 0.929
I 0.231 0.862 0.429
I 0.452 0.064 0.756
I 0.452 0.436 0.256
I 0.548 0.564 0.744
I 0.548 0.936 0.244
I 0.769 0.138 0.571
I 0.769 0.362 0.071
I 0.881 0.675 0.566
I 0.881 0.825 0.066


Relative to the most stable structure, the computed energies are one 23; two 759; three 262; four 0, all in meV/atom.


## one
Entry from the Alexandria database: an optimized crystal structure of BaAuI2 (GGA-PBE).

## Properties
* symmetry: Fm-3m

a b c (Å): 5.873 5.873 5.873
angles (deg): 60.00 60.00 60.00
Fractional coordinates of all 4 atoms:
Ba 0.000 0.000 0.000
Au 0.500 0.500 0.500
I 0.250 0.250 0.250
I 0.750 0.750 0.750


## two
Entry from the Alexandria database: an optimized crystal structure of BaAuI2 (GGA-PBE).

## Properties
* symmetry: I-42d

a b c (Å): 10.833 10.833 10.833
angles (deg): 148.20 148.20 45.59
Fractional coordinates of all 8 atoms:
Ba 0.000 0.000 0.000
Ba 0.750 0.250 0.500
Au 0.250 0.750 0.500
Au 0.500 0.500 0.000
I 0.171 0.625 0.046
I 0.375 0.421 0.546
I 0.579 0.125 0.954
I 0.875 0.829 0.454


Relative to the most stable structure, the computed energies are one 0; two 77, all in meV/atom.


## one
Entry from the Alexandria database: an optimized crystal structure of Ba2AuI (GGA-PBE).

## Properties
* symmetry: R-3m

a b c (Å): 9.280 9.280 9.280
angles (deg): 29.66 29.66 29.66
Fractional coordinates of all 4 atoms:
Ba 0.236 0.236 0.236
Ba 0.764 0.764 0.764
Au 0.500 0.500 0.500
I 0.000 0.000 0.000


## two
Entry from the Alexandria database: an optimized crystal structure of Ba2AuI (GGA-PBE).

## Properties
* symmetry: Fm-3m

a b c (Å): 5.958 5.958 5.958
angles (deg): 60.00 60.00 60.00
Fractional coordinates of all 4 atoms:
Ba 0.250 0.250 0.250
Ba 0.750 0.750 0.750
Au 0.000 0.000 0.000
I 0.500 0.500 0.500


## three
Entry from the Alexandria database: an optimized crystal structure of Ba2AuI (GGA-PBE).

## Properties
* symmetry: R3m

a b c (Å): 9.329 9.329 9.329
angles (deg): 29.51 29.51 29.51
Fractional coordinates of all 4 atoms:
Ba 0.000 0.000 0.000
Ba 0.196 0.196 0.196
Au 0.597 0.597 0.597
I 0.767 0.767 0.767


## four
Entry from the Alexandria database: an optimized crystal structure of Ba2AuI (GGA-PBE).

## Properties
* symmetry: P4/mmm

a b c (Å): 4.126 4.126 8.885
angles (deg): 90.00 90.00 90.00
Fractional coordinates of all 4 atoms:
Ba 0.000 0.000 0.214
Ba 0.000 0.000 0.786
Au 0.500 0.500 0.000
I 0.500 0.500 0.500


Relative to the most stable structure, the computed energies are one 0; two 239; three 8; four 94, all in meV/atom.


## one
Entry from the Alexandria database: an optimized crystal structure of KBaAuI (GGA-PBE).

## Properties
* symmetry: R3m

a b c (Å): 9.153 9.153 9.153
angles (deg): 30.23 30.23 30.23
Fractional coordinates of all 4 atoms:
K 0.000 0.000 0.000
Ba 0.187 0.187 0.187
Au 0.587 0.587 0.587
I 0.427 0.427 0.427


## two
Entry from the Alexandria database: an optimized crystal structure of KBaAuI (GGA-PBE).

## Properties
* symmetry: F-43m

a b c (Å): 5.940 5.940 5.940
angles (deg): 60.00 60.00 60.00
Fractional coordinates of all 4 atoms:
K 0.000 0.000 0.000
Ba 0.500 0.500 0.500
Au 0.750 0.750 0.750
I 0.250 0.250 0.250


Relative to the most stable structure, the computed energies are one 0; two 127, all in meV/atom.